! LiMn2SiO4 | Alexandria | PBE+U | optimized geometry; values from VASP
&SYSTEM
  ibrav = 0, nat = 8, ntyp = 4
/
ATOMIC_SPECIES
Li 6.94 Li.upf
Mn 54.94 Mn.upf
Si 28.09 Si.upf
O 16.00 O.upf
CELL_PARAMETERS angstrom
-2.3178 2.3178 4.6619
2.3178 -2.3178 4.6619
2.3178 2.3178 -4.6619
ATOMIC_POSITIONS crystal
Li 0.0000 0.0000 0.0000
Mn 0.2500 0.7500 0.5000
Mn 0.7500 0.2500 0.5000
Si 0.5000 0.5000 0.0000
O 0.1877 0.6086 0.0000
O 0.3914 0.3914 0.5791
O 0.6086 0.1877 0.0000
O 0.8123 0.8123 0.4209
! M_tot = 10.04 μB per formula unit
! DFT total energy = -57.3 eV per cell

***

! Li2MnSi4O11 | Alexandria | PBE+U | optimized geometry; values from VASP
&SYSTEM
  ibrav = 0, nat = 36, ntyp = 4
/
ATOMIC_SPECIES
Li 6.94 Li.upf
Mn 54.94 Mn.upf
Si 28.09 Si.upf
O 16.00 O.upf
CELL_PARAMETERS angstrom
-5.2395 5.2395 3.9198
5.2395 -5.2395 3.9198
5.2395 5.2395 -3.9198
ATOMIC_POSITIONS crystal
Li 0.1172 0.8418 0.9590
Li 0.1582 0.1172 0.2755
Li 0.8418 0.8828 0.7245
Li 0.8828 0.1582 0.0410
Mn 0.2554 0.2554 0.0000
Mn 0.7446 0.7446 0.0000
Si 0.0039 0.3292 0.7198
Si 0.2841 0.0039 0.6747
Si 0.3292 0.6094 0.3253
Si 0.3906 0.7159 0.7198
Si 0.6094 0.2841 0.2802
Si 0.6708 0.3906 0.6747
Si 0.7159 0.9961 0.3253
Si 0.9961 0.6708 0.2802
O 0.0000 0.0000 0.0000
O 0.0551 0.2985 0.9030
O 0.0937 0.5465 0.2645
O 0.1521 0.0551 0.7566
O 0.1708 0.9063 0.4528
O 0.2095 0.4673 0.6767
O 0.2820 0.8292 0.7355
O 0.2985 0.3955 0.2434
O 0.3955 0.1521 0.0970
O 0.4535 0.7180 0.5472
O 0.4673 0.7905 0.2578
O 0.5000 0.5000 0.0000
O 0.5327 0.2095 0.7422
O 0.5465 0.2820 0.4528
O 0.6045 0.8479 0.9030
O 0.7015 0.6045 0.7566
O 0.7180 0.1708 0.2645
O 0.7905 0.5327 0.3233
O 0.8292 0.0937 0.5472
O 0.8479 0.9449 0.2434
O 0.9063 0.4535 0.7355
O 0.9449 0.7015 0.0970
! M_tot = 3.00 μB per formula unit
! DFT total energy = -261.4 eV per cell

***

! Li3Mn2Si2O8 | Alexandria | PBE+U | optimized geometry; values from VASP
&SYSTEM
  ibrav = 0, nat = 30, ntyp = 4
/
ATOMIC_SPECIES
Li 6.94 Li.upf
Mn 54.94 Mn.upf
Si 28.09 Si.upf
O 16.00 O.upf
CELL_PARAMETERS angstrom
5.0825 0.0000 0.0000
0.0000 10.8266 0.0000
-0.0156 0.0000 6.3485
ATOMIC_POSITIONS crystal
Li 0.0629 0.0000 0.2420
Li 0.0746 0.9947 0.7417
Li 0.4285 0.8248 0.2648
Li 0.5715 0.3248 0.7352
Li 0.9254 0.4947 0.2583
Li 0.9371 0.5000 0.7580
Mn 0.0803 0.2535 0.4781
Mn 0.4442 0.5720 0.0178
Mn 0.5558 0.0720 0.9822
Mn 0.9197 0.7535 0.5219
Si 0.0707 0.2457 0.9832
Si 0.4159 0.5837 0.5116
Si 0.5841 0.0837 0.4884
Si 0.9293 0.7457 0.0168
O 0.0012 0.3252 0.1931
O 0.0374 0.8191 0.2283
O 0.0422 0.6009 0.0082
O 0.0923 0.5748 0.5101
O 0.3953 0.2317 0.9635
O 0.4703 0.0121 0.2728
O 0.4696 0.0148 0.7039
O 0.4796 0.2263 0.4929
O 0.5204 0.7263 0.5071
O 0.5297 0.5121 0.7272
O 0.5304 0.5148 0.2961
O 0.6047 0.7317 0.0365
O 0.9077 0.0748 0.4899
O 0.9578 0.1009 0.9918
O 0.9626 0.3191 0.7717
O 0.9988 0.8252 0.8069
! M_tot = 9.00 μB per formula unit
! E above lowest polymorph = 20 meV/atom

***

! Li3MnSi2O7 | Alexandria | PBE+U | optimized geometry; values from VASP
&SYSTEM
  ibrav = 0, nat = 13, ntyp = 4
/
ATOMIC_SPECIES
Li 6.94 Li.upf
Mn 54.94 Mn.upf
Si 28.09 Si.upf
O 16.00 O.upf
CELL_PARAMETERS angstrom
4.6943 0.0000 0.0000
-2.3279 4.7748 0.0000
-0.0944 -1.3219 6.6464
ATOMIC_POSITIONS crystal
Li 0.0000 0.0000 0.0000
Li 0.1303 0.2938 0.4001
Li 0.5728 0.1496 0.6797
Mn 0.2847 0.5802 0.8599
Si 0.7280 0.4212 0.1396
Si 0.8731 0.7415 0.5648
O 0.0409 0.6674 0.0577
O 0.1695 0.0349 0.5471
O 0.4236 0.3286 0.9690
O 0.6335 0.5668 0.3528
O 0.6555 0.8119 0.7373
O 0.8021 0.1653 0.1747
O 0.9773 0.5048 0.6354
! M_tot = 3.97 μB per formula unit
! DFT total energy = -88.5 eV per cell

***

! Li9Mn5Si2O16 | Alexandria | PBE+U | optimized geometry; values from VASP
&SYSTEM
  ibrav = 0, nat = 32, ntyp = 4
/
ATOMIC_SPECIES
Li 6.94 Li.upf
Mn 54.94 Mn.upf
Si 28.09 Si.upf
O 16.00 O.upf
CELL_PARAMETERS angstrom
5.0748 0.0000 0.0000
0.4563 5.3291 0.0000
1.8814 0.2617 10.7810
ATOMIC_POSITIONS crystal
Li 0.0000 0.0000 0.0000
Li 0.0650 0.7534 0.4359
Li 0.1823 0.2480 0.3095
Li 0.3320 0.7148 0.1834
Li 0.4087 0.2703 0.0578
Li 0.5913 0.7297 0.9422
Li 0.6680 0.2852 0.8166
Li 0.8177 0.7520 0.6905
Li 0.9350 0.2466 0.5641
Mn 0.2446 0.0017 0.7580
Mn 0.3704 0.5019 0.6285
Mn 0.5000 0.0000 0.5000
Mn 0.6296 0.4981 0.3715
Mn 0.7554 0.9983 0.2420
Si 0.1208 0.5029 0.8794
Si 0.8792 0.4971 0.1206
O 0.0421 0.1861 0.1511
O 0.0420 0.3943 0.7335
O 0.1705 0.8895 0.5975
O 0.1882 0.5962 0.0281
O 0.2949 0.3911 0.4698
O 0.2997 0.1900 0.8980
O 0.4206 0.8871 0.3423
O 0.4340 0.6105 0.7908
O 0.5660 0.3895 0.2092
O 0.5794 0.1129 0.6577
O 0.7003 0.8100 0.1020
O 0.7051 0.6089 0.5302
O 0.8118 0.4038 0.9719
O 0.8295 0.1105 0.4025
O 0.9580 0.6057 0.2665
O 0.9579 0.8139 0.8489
! M_tot = 20.00 μB per formula unit
! DFT total energy = -209.1 eV per cell

***

! Li4MnSi2O7 | Alexandria | PBE+U | optimized geometry; values from VASP
&SYSTEM
  ibrav = 0, nat = 14, ntyp = 4
/
ATOMIC_SPECIES
Li 6.94 Li.upf
Mn 54.94 Mn.upf
Si 28.09 Si.upf
O 16.00 O.upf
CELL_PARAMETERS angstrom
4.7683 -2.2986 0.0000
4.7683 2.2986 0.0000
-1.4084 0.0000 6.7748
ATOMIC_POSITIONS crystal
Li 0.1492 0.1492 0.4405
Li 0.3019 0.2749 0.8517
Li 0.7251 0.6981 0.1483
Li 0.8508 0.8508 0.5595
Mn 0.0204 0.9796 0.0000
Si 0.4515 0.3954 0.2911
Si 0.6046 0.5485 0.7089
O 0.1578 0.5680 0.1133
O 0.3353 0.6647 0.5000
O 0.4320 0.8422 0.8867
O 0.5170 0.0704 0.3418
O 0.6753 0.2203 0.7674
O 0.7797 0.3247 0.2326
O 0.9296 0.4830 0.6582
! M_tot = 5.00 μB per formula unit
! E above lowest polymorph = 12 meV/atom